{
  "formula": "Ta2W",
  "functional": "GGA-PBE",
  "state": "relaxed",
  "lattice": [[4.598, 0.000, 0.000], [0.000, 4.621, 0.000], [0.000, 0.000, 9.852]],
  "species": ["Ta", "Ta", "Ta", "Ta", "Ta", "Ta", "Ta", "Ta", "W", "W", "W", "W"],
  "fractional_positions": [[0.000, 0.000, 0.161], [0.000, 0.000, 0.839], [0.000, 0.500, 0.339], [0.000, 0.500, 0.661], [0.500, 0.000, 0.339], [0.500, 0.000, 0.661], [0.500, 0.500, 0.161], [0.500, 0.500, 0.839], [0.000, 0.000, 0.500], [0.000, 0.500, 0.000], [0.500, 0.000, 0.000], [0.500, 0.500, 0.500]],
  "final_energy_ev_per_atom": -12.30,
  "spacegroup": "Fmmm"
}